[1]
First-principles (GGA-PBE) data for a relaxed structure of Ac2YGe3, as listed in Alexandria.

```
Ac2YGe3
1.0
6.230 0.000 0.000
0.000 10.157 0.000
-3.115 -2.537 5.754
Ge Ac Y
6 4 2
Direct
0.879 0.939 0.756
0.123 0.561 0.244
0.500 0.750 0.000
0.121 0.061 0.244
0.500 0.250 0.000
0.877 0.439 0.756
0.675 0.587 0.348
0.325 0.413 0.652
0.673 0.087 0.348
0.327 0.913 0.652
0.000 0.750 0.000
0.000 0.250 0.000
```

- Calculated volume: 30.34 Å³/atom
- Space-group type: No. 15
- Magnetic moment: 0.00 μB per formula unit
- Density: 6.940 g/cm³
- ΔH_f (0 K): -13.90 kcal/mol of atoms


[2]
First-principles (GGA-PBE) data for a relaxed structure of TiNb6Mo, as listed in Alexandria.

```
TiNb6Mo
1.0
4.647 0.000 0.000
0.000 5.369 -1.865
0.000 0.016 5.684
Nb Ti Mo
6 1 1
Direct
0.000 0.888 0.638
0.500 0.625 0.875
0.500 0.125 0.375
0.000 0.362 0.112
0.000 0.867 0.133
0.000 0.383 0.617
0.500 0.625 0.375
0.500 0.125 0.875
```

- Calculated volume: 17.74 Å³/atom
- Space-group type: No. 65
- Magnetic moment: 0.00 μB per formula unit
- Density: 8.203 g/cm³
- ΔH_f (0 K): -0.72 kcal/mol of atoms


[3]
First-principles (GGA-PBE) data for a relaxed structure of NbCoSe3, as listed in Alexandria.

```
NbCoSe3
1.0
3.462 0.000 0.000
0.000 6.285 -0.389
0.000 -3.238 10.062
Se Co Nb
6 2 2
Direct
0.250 0.430 0.361
0.250 0.776 0.954
0.750 0.103 0.693
0.750 0.570 0.639
0.750 0.224 0.046
0.250 0.897 0.307
0.750 0.892 0.853
0.250 0.108 0.147
0.750 0.778 0.452
0.250 0.222 0.548
```

- Calculated volume: 21.46 Å³/atom
- Space-group type: No. 11
- Magnetic moment: 0.00 μB per formula unit
- Density: 6.016 g/cm³
- Raw formation energy: -2.11 eV per formula unit


[4]
First-principles (GGA-PBE) data for a relaxed structure of Al2NiPb, as listed in Alexandria.

```
Al2NiPb
1.0
3.996 0.000 0.000
0.000 3.995 0.000
0.000 0.000 4.549
Al Ni Pb
2 1 1
Direct
0.500 0.500 0.000
0.000 0.000 0.000
0.500 0.000 0.500
0.000 0.500 0.500
```

- Calculated volume: 18.15 Å³/atom
- Space-group type: No. 123
- Magnetic moment: 0.00 μB per formula unit
- Density: 7.314 g/cm³
- ΔH_f (0 K): 5.83 kcal/mol of atoms


[5]
First-principles (GGA-PBE) data for a relaxed structure of SrMgMo2, as listed in Alexandria.

```
SrMgMo2
1.0
10.076 -0.019 -0.011
9.538 3.249 -0.011
9.538 1.571 2.844
Mo Sr Mg
2 1 1
Direct
0.989 0.989 0.989
0.268 0.268 0.268
0.508 0.508 0.508
0.735 0.735 0.735
```

- Calculated volume: 23.49 Å³/atom
- Space-group type: No. 160
- Magnetic moment: 0.00 μB per formula unit
- Density: 5.368 g/cm³
- ΔH_f (0 K): 13.85 kcal/mol of atoms


[6]
First-principles (GGA-PBE) data for a relaxed structure of Nd2HfCu, as listed in Alexandria.

```
Nd2HfCu
1.0
-2.833 -1.176 1.146
-2.203 -1.267 -2.066
2.993 -10.895 0.893
Nd Hf Cu
2 1 1
Direct
0.903 0.903 0.290
0.097 0.097 0.710
0.000 0.000 0.000
0.500 0.500 0.500
```

- Calculated volume: 25.95 Å³/atom
- Space-group type: No. 166
- Magnetic moment: 0.00 μB per formula unit
- Density: 8.488 g/cm³
- ΔH_f (0 K): 10.54 kcal/mol of atoms


[7]
First-principles (GGA-PBE) data for a relaxed structure of Hf4Ga2N, as listed in Alexandria.

```
Hf4Ga2N
1.0
-1.408 2.874 -2.763
2.281 -1.822 -3.058
-5.187 -3.790 -4.533
Ga N Hf
2 1 4
Direct
0.358 0.358 0.283
0.642 0.642 0.717
0.000 0.000 0.000
0.164 0.164 0.672
0.836 0.836 0.328
0.500 0.000 0.000
0.000 0.500 0.000
```

- Calculated volume: 18.57 Å³/atom
- Space-group type: No. 139
- Magnetic moment: 0.00 μB per formula unit
- Density: 11.079 g/cm³
- Raw formation energy: -4.59 eV per formula unit


[8]
First-principles (GGA-PBE) data for a relaxed structure of Na3Y3USe8, as listed in Alexandria.

```
Na3Y3USe8
1.0
8.290 0.000 0.000
-4.145 7.180 -0.028
0.000 -4.764 7.063
Y Se U Na
3 8 1 3
Direct
0.500 0.500 0.500
0.000 0.500 0.500
0.500 0.000 0.500
0.255 0.015 0.275
0.760 0.520 0.275
0.256 0.513 0.270
0.745 0.985 0.725
0.744 0.487 0.730
0.240 0.480 0.725
0.760 0.015 0.275
0.240 0.985 0.725
0.000 0.000 0.500
0.500 0.500 0.000
0.000 0.500 0.000
0.000 0.000 0.000
```

- Calculated volume: 27.95 Å³/atom
- Space-group type: No. 166
- Magnetic moment: 2.00 μB per formula unit
- Density: 4.774 g/cm³
- Raw formation energy: -23.82 eV per formula unit


[9]
First-principles (GGA-PBE) data for a relaxed structure of Zr3VPt12, as listed in Alexandria.

```
Zr3VPt12
1.0
4.021 0.000 0.000
0.000 4.021 0.000
0.000 0.000 16.099
Pt Zr V
12 3 1
Direct
0.000 0.500 0.373
0.500 0.500 0.000
0.500 0.500 0.247
0.000 0.500 0.120
0.500 0.000 0.373
0.000 0.500 0.880
0.500 0.500 0.500
0.500 0.000 0.120
0.500 0.500 0.753
0.500 0.000 0.627
0.000 0.500 0.627
0.500 0.000 0.880
0.000 0.000 0.246
0.000 0.000 0.754
0.000 0.000 0.500
0.000 0.000 0.000
```

- Calculated volume: 16.27 Å³/atom
- Space-group type: No. 123
- Magnetic moment: 1.45 μB per formula unit
- Density: 17.004 g/cm³
- ΔH_f (0 K): -20.14 kcal/mol of atoms


[10]
First-principles (GGA-PBE) data for a relaxed structure of MgPtW2, as listed in Alexandria.

```
MgPtW2
1.0
-2.465 0.114 -2.132
-2.739 -0.707 3.129
-0.389 4.593 0.697
Pt W Mg
1 2 1
Direct
0.000 0.500 0.500
0.000 0.000 0.000
0.500 0.500 0.000
0.500 0.000 0.500
```

- Calculated volume: 16.03 Å³/atom
- Space-group type: No. 47
- Magnetic moment: 0.00 μB per formula unit
- Density: 15.201 g/cm³
- ΔH_f (0 K): 0.59 kcal/mol of atoms


[11]
First-principles (GGA-PBE) data for a relaxed structure of Tc2PbW, as listed in Alexandria.

```
Tc2PbW
1.0
-0.052 -1.171 3.971
0.539 -2.792 -0.816
6.085 -1.066 -0.235
Tc Pb W
2 1 1
Direct
0.000 0.081 0.040
0.000 0.419 0.460
0.500 0.750 0.750
0.500 0.250 0.250
```

- Calculated volume: 17.72 Å³/atom
- Space-group type: No. 10
- Magnetic moment: 0.00 μB per formula unit
- Density: 13.756 g/cm³
- ΔH_f (0 K): 13.64 kcal/mol of atoms


[12]
First-principles (GGA-PBE) data for a relaxed structure of NbTlAg2Br8, as listed in Alexandria.

```
NbTlAg2Br8
1.0
-2.680 3.674 -5.050
0.340 -6.756 -3.614
-7.761 -4.940 0.549
Br Nb Tl Ag
8 1 1 2
Direct
0.658 0.794 0.036
0.089 0.761 0.275
0.911 0.239 0.725
0.561 0.735 0.579
0.863 0.197 0.129
0.439 0.265 0.421
0.137 0.803 0.871
0.342 0.206 0.964
0.000 0.000 0.000
0.000 0.000 0.500
0.524 0.349 0.669
0.476 0.651 0.331
```

- Calculated volume: 36.12 Å³/atom
- Space-group type: No. 2
- Magnetic moment: 0.00 μB per formula unit
- Density: 4.414 g/cm³
- Raw formation energy: -7.89 eV per formula unit


> Which value of magnetic moment does entry 1 give?

0.00 μB per formula unit


Repeat the twelfth record exactly.
First-principles (GGA-PBE) data for a relaxed structure of NbTlAg2Br8, as listed in Alexandria.

```
NbTlAg2Br8
1.0
-2.680 3.674 -5.050
0.340 -6.756 -3.614
-7.761 -4.940 0.549
Br Nb Tl Ag
8 1 1 2
Direct
0.658 0.794 0.036
0.089 0.761 0.275
0.911 0.239 0.725
0.561 0.735 0.579
0.863 0.197 0.129
0.439 0.265 0.421
0.137 0.803 0.871
0.342 0.206 0.964
0.000 0.000 0.000
0.000 0.000 0.500
0.524 0.349 0.669
0.476 0.651 0.331
```

- Calculated volume: 36.12 Å³/atom
- Space-group type: No. 2
- Magnetic moment: 0.00 μB per formula unit
- Density: 4.414 g/cm³
- Raw formation energy: -7.89 eV per formula unit


> Which value of density does entry 5 give?

5.368 g/cm³